[1]
The following is a PBE calculation of crystalline K3GdP2O8 at its relaxed geometry, from OQMD.

Properties
SG = P2_1/m
total energy = -6.7534 eV per atom
calculated volume = 386.92 Å³/cell

a = 7.354 Å, b = 5.604 Å, c = 9.390 Å
α = 90.00°, β = 90.70°, γ = 90.00°
Fractional coordinates of all 28 atoms:
K: 0.797 0.250 0.918
K: 0.495 0.750 0.808
K: 0.635 0.750 0.409
K: 0.505 0.250 0.192
K: 0.365 0.250 0.591
K: 0.203 0.750 0.082
O: 0.439 0.250 0.898
O: 0.754 0.476 0.659
O: 0.173 0.250 0.070
O: 0.151 0.476 0.837
O: 0.983 0.750 0.453
O: 0.827 0.750 0.930
O: 0.849 0.976 0.163
O: 0.246 0.524 0.341
O: 0.754 0.024 0.659
O: 0.246 0.976 0.341
O: 0.284 0.750 0.576
O: 0.561 0.750 0.102
O: 0.017 0.250 0.547
O: 0.716 0.250 0.424
O: 0.151 0.024 0.837
O: 0.849 0.524 0.163
Gd: 0.993 0.750 0.709
Gd: 0.007 0.250 0.291
P: 0.769 0.750 0.088
P: 0.190 0.750 0.426
P: 0.231 0.250 0.912
P: 0.810 0.250 0.574

***

[2]
The following is a PBE calculation of crystalline SmYNO at its relaxed geometry, from OQMD.

Properties
SG = Pbcm
total energy = -8.2313 eV per atom
calculated volume = 279.57 Å³/cell

a = 5.035 Å, b = 6.834 Å, c = 8.124 Å
α = 90.00°, β = 90.00°, γ = 90.00°
Fractional coordinates of all 16 atoms:
Y: 0.050 0.075 0.621
Y: 0.550 0.925 0.379
Y: 0.550 0.425 0.621
Y: 0.050 0.575 0.379
N: 0.050 0.433 0.130
N: 0.550 0.067 0.130
N: 0.050 0.933 0.870
N: 0.550 0.567 0.870
Sm: 0.551 0.916 0.871
Sm: 0.051 0.084 0.129
Sm: 0.551 0.416 0.129
Sm: 0.051 0.584 0.871
O: 0.051 0.904 0.377
O: 0.551 0.096 0.623
O: 0.551 0.596 0.377
O: 0.051 0.404 0.623

***

[3]
The following is a PBE calculation of crystalline Gd3Y3CoTe2 at its relaxed geometry, from OQMD.

Properties
SG = P-62m
total energy = -5.8592 eV per atom
calculated volume = 240.30 Å³/cell

a = 8.421 Å, b = 8.421 Å, c = 3.913 Å
α = 90.00°, β = 90.00°, γ = 120.00°
Fractional coordinates of all 9 atoms:
Y: 0.000 0.596 0.000
Y: 0.404 0.404 0.000
Y: 0.596 0.000 0.000
Co: 0.000 0.000 0.000
Te: 0.333 0.667 0.500
Te: 0.667 0.333 0.500
Gd: 0.764 0.764 0.500
Gd: 0.236 0.000 0.500
Gd: 0.000 0.236 0.500

***

[4]
The following is a PBE calculation of crystalline Dy2Y4ErNi2Te2 at its relaxed geometry, from OQMD.

Properties
SG = Imm2
total energy = -5.8595 eV per atom
calculated volume = 289.98 Å³/cell

a = 9.386 Å, b = 9.386 Å, c = 9.386 Å
α = 156.30°, β = 66.94°, γ = 118.43°
Fractional coordinates of all 11 atoms:
Y: 0.413 0.097 0.316
Y: 0.392 0.747 0.646
Y: 0.782 0.097 0.684
Y: 0.101 0.747 0.354
Dy: 0.027 0.895 0.132
Dy: 0.763 0.895 0.868
Te: 0.740 0.240 0.500
Te: 0.141 0.141 0.000
Er: 0.477 0.477 0.000
Ni: 0.643 0.404 0.239
Ni: 0.165 0.404 0.761

***

[5]
The following is a PBE calculation of crystalline B4MoPt at its relaxed geometry, from OQMD.

Properties
SG = P6/mmm
total energy = -7.1722 eV per atom
calculated volume = 55.81 Å³/cell

a = 3.013 Å, b = 3.013 Å, c = 7.098 Å
α = 90.00°, β = 90.00°, γ = 120.00°
Fractional coordinates of all 6 atoms:
B: 0.333 0.667 0.266
B: 0.333 0.667 0.734
B: 0.667 0.333 0.734
B: 0.667 0.333 0.266
Mo: 0.000 0.000 0.500
Pt: 0.000 0.000 0.000

***

[6]
The following is a PBE calculation of crystalline DyErCo2 at its relaxed geometry, from OQMD.

Properties
SG = Pmc2_1
total energy = -6.0655 eV per atom
DFT formation energy = -221 meV per atom
calculated volume = 155.11 Å³/cell

a = 3.878 Å, b = 5.481 Å, c = 7.297 Å
α = 90.00°, β = 90.00°, γ = 90.00°
Fractional coordinates of all 8 atoms:
Dy: 0.000 0.131 0.177
Dy: 0.000 0.869 0.677
Co: 0.000 0.645 0.029
Co: 0.500 0.150 0.472
Co: 0.500 0.850 0.972
Co: 0.000 0.355 0.529
Er: 0.500 0.631 0.322
Er: 0.500 0.369 0.822

***

> Which of these has the lowest calculated volume?

B4MoPt

***

> calculated volume of number 5 (B4MoPt)?

55.81 Å³/cell

***

> The highest calculated volume belongs to which entry?

K3GdP2O8